No. 1
NbB2Pt: relaxed, PBEsol.

Lattice parameters (Å, degrees): 3.8167 3.8167 7.7229 104.31 104.31 90.00
With the nearest neighbours (Å) after each atom.
Positions (direct):
Nb  0.7500  0.2500  0.5000  4 Pt 2.70, 8 B 2.80
Nb  0.5000  0.5000  0.0000  4 Pt 2.70, 8 B 2.80
B  0.1256  0.8750  0.2500  2 B 1.91, 2 Pt 2.05
B  0.1244  0.3750  0.2500  2 B 1.91, 2 Pt 2.05
B  0.1250  0.8756  0.7500  2 B 1.91, 2 Pt 2.05
B  0.6250  0.8744  0.7500  2 B 1.91, 2 Pt 2.05
Pt  0.2500  0.7500  0.5000  4 B 2.05
Pt  0.0000  0.0000  0.0000  4 B 2.05


No. 2
NbB2Pt: relaxed, PBEsol.

Lattice parameters (Å, degrees): 3.9873 3.9873 3.9873 60.00 60.00 60.00
With the nearest neighbours (Å) after each atom.
Positions (direct):
Nb  0.0000  0.0000  0.0000  8 B 2.44
B  0.2500  0.2500  0.2500  4 Nb 2.44, 4 Pt 2.44
B  0.7500  0.7500  0.7500  4 Pt 2.44, 4 Nb 2.44
Pt  0.5000  0.5000  0.5000  8 B 2.44


No. 3
Nb2B2Rh: relaxed, PBEsol.

Lattice parameters (Å, degrees): 3.5427 5.7668 5.7668 90.00 90.00 90.00
With the nearest neighbours (Å) after each atom.
Positions (direct):
Nb  0.5000  0.1759  0.6759  6 B 2.46
Nb  0.5000  0.6759  0.8241  6 B 2.46
Nb  0.5000  0.8241  0.3241  6 B 2.46
Nb  0.5000  0.3241  0.1759  6 B 2.46
B  0.0000  0.3855  0.8855  1 B 1.87
B  0.0000  0.8855  0.6145  1 B 1.87
B  0.0000  0.6145  0.1145  1 B 1.87
B  0.0000  0.1145  0.3855  1 B 1.87
Rh  0.0000  0.0000  0.0000  4 B 2.32
Rh  0.0000  0.5000  0.5000  4 B 2.32


No. 4
NbSnBRh2: relaxed, PBEsol.

Lattice parameters (Å, degrees): 4.6804 4.6804 5.0976 90.00 90.00 90.00
With the nearest neighbours (Å) after each atom.
Positions (direct):
Nb  0.0000  0.0000  0.5000  2 Sn 2.55
B  0.5000  0.5000  0.5000  4 Nb 3.31, 8 Rh 3.46
Rh  0.0000  0.5000  0.0000  2 Sn 2.34
Rh  0.5000  0.0000  0.0000  2 Sn 2.34
Sn  0.0000  0.0000  0.0000  4 Rh 2.34, 2 Nb 2.55


No. 5
Nb3B2Ru5: relaxed, PBEsol.

Lattice parameters (Å, degrees): 2.9847 9.3775 9.3775 90.00 90.00 90.00
With the nearest neighbours (Å) after each atom.
Positions (direct):
Nb  0.0000  0.8235  0.6765  3 B 2.68-2.84, 10 Ru 2.78-2.93, 2 Nb 2.98
Nb  0.0000  0.1765  0.3235  3 B 2.68-2.84, 10 Ru 2.78-2.93, 2 Nb 2.98
Nb  0.0000  0.3235  0.8235  3 B 2.68-2.84, 10 Ru 2.78-2.93, 2 Nb 2.98
Nb  0.0000  0.6765  0.1765  3 B 2.68-2.84, 10 Ru 2.78-2.93, 2 Nb 2.98
Nb  0.0000  0.5000  0.5000  8 Ru 2.62
Nb  0.0000  0.0000  0.0000  8 Ru 2.62
B  0.0000  0.6212  0.8788  6 Ru 2.17-2.19
B  0.0000  0.3788  0.1212  6 Ru 2.17-2.19
B  0.0000  0.1212  0.6212  6 Ru 2.17-2.19
B  0.0000  0.8788  0.3788  6 Ru 2.17-2.19
Ru  0.5000  0.5707  0.7191  2 B 2.17
Ru  0.5000  0.4293  0.2809  2 B 2.17
Ru  0.5000  0.0707  0.7809  2 B 2.17
Ru  0.5000  0.9293  0.2191  2 B 2.17
Ru  0.5000  0.2809  0.5707  2 B 2.17
Ru  0.5000  0.7191  0.4293  2 B 2.17
Ru  0.5000  0.2191  0.0707  2 B 2.17
Ru  0.5000  0.7809  0.9293  2 B 2.17
Ru  0.5000  0.5000  0.0000  4 B 2.19
Ru  0.5000  0.0000  0.5000  4 B 2.19


No. 6
NbB3Ru: relaxed, PBEsol.

Lattice parameters (Å, degrees): 4.0233 4.0233 4.0233 90.00 90.00 90.00
With the nearest neighbours (Å) after each atom.
Positions (direct):
Ru  0.5000  0.5000  0.5000  12 B 2.84
Nb  0.0000  0.0000  0.0000  6 B 2.01
B  0.0000  0.5000  0.0000  2 Nb 2.01
B  0.0000  0.0000  0.5000  2 Nb 2.01
B  0.5000  0.0000  0.0000  2 Nb 2.01


| no. | E (eV/atom) | size of the total moment (μB/f.u.) | calculated formation energy (meV/atom) |
| --- | --- | --- | --- |
| 1 | -7.673 | 0.0 | 281 |
| 2 | -7.696 | 0.0 | 258 |
| 3 | -9.425 | 0.0 | -662 |
| 4 | -5.343 | 0.0 | 2332 |
| 5 | -10.185 | 0.0 | -449 |
| 6 | -6.539 | 0.0 | 1870 |